# 1
Computed, not measured: CsTmAgTe2 after structural relaxation at the GGA-PBE level of DFT.

Structure (POSCAR):
```
CsTmAgTe2
1.0
-4.437 0.682 1.576
1.453 -5.674 6.547
2.794 6.534 5.035
Cs Tm Ag Te
2 2 2 4
Direct
0.001 0.500 0.750 Cs
0.999 0.500 0.250 Cs
0.500 0.000 0.250 Tm
0.500 0.000 0.750 Tm
0.000 0.000 0.000 Ag
0.000 0.000 0.500 Ag
0.513 0.766 0.000 Te
0.513 0.234 0.500 Te
0.487 0.766 0.500 Te
0.487 0.234 0.000 Te
```

Output
**Density**: 6067 kg/m3
**DFT total energy**: -3.711 eV per atom
**DOS(E_F)**: 0.185 states/eV/atom

# 2
Computed, not measured: Be3Sb after structural relaxation at the GGA-PBE level of DFT.

Structure (POSCAR):
```
Be3Sb
1.0
2.923 -5.063 0.000
2.923 5.063 0.000
0.000 0.000 3.693
Be Sb
6 2
Direct
0.873 0.746 0.250 Be
0.254 0.127 0.250 Be
0.873 0.127 0.250 Be
0.127 0.254 0.750 Be
0.746 0.873 0.750 Be
0.127 0.873 0.750 Be
0.333 0.667 0.250 Sb
0.667 0.333 0.750 Sb
```

Output
**Density**: 4520 kg/m3
**DFT total energy**: -3.321 eV per atom
**DOS(E_F)**: 0.275 states/eV/atom

# 3
Computed, not measured: LaDy2ThSe4 after structural relaxation at the GGA-PBE level of DFT.

Structure (POSCAR):
```
LaDy2ThSe4
1.0
4.106 0.000 0.000
0.000 7.350 -0.223
0.000 2.511 6.692
La Dy Th Se
1 2 1 4
Direct
0.500 0.500 0.000 La
0.000 0.000 0.000 Dy
0.500 0.000 0.500 Dy
0.000 0.500 0.500 Th
0.000 0.768 0.742 Se
0.000 0.232 0.258 Se
0.500 0.766 0.247 Se
0.500 0.234 0.753 Se
```

Output
**Density**: 8225 kg/m3
**DFT total energy**: -6.190 eV per atom
**DOS(E_F)**: 0.480 states/eV/atom

# 4
Computed, not measured: La2HoN3 after structural relaxation at the GGA-PBE level of DFT.

Structure (POSCAR):
```
La2HoN3
1.0
-1.820 1.820 7.897
1.820 -1.820 7.897
1.820 1.820 -7.897
La Ho N
2 1 3
Direct
0.659 0.659 0.000 La
0.341 0.341 0.000 La
0.000 0.000 0.000 Ho
0.500 0.500 0.000 N
0.849 0.849 0.000 N
0.151 0.151 0.000 N
```

Output
**Density**: 7692 kg/m3
**DFT total energy**: -7.981 eV per atom
**DOS(E_F)**: 0.088 states/eV/atom

# 5
Computed, not measured: NiC3Se after structural relaxation at the GGA-PBE level of DFT.

Structure (POSCAR):
```
NiC3Se
1.0
3.824 0.000 0.000
0.000 3.824 0.000
0.000 0.000 3.824
Ni C Se
1 3 1
Direct
0.500 0.500 0.500 Ni
0.000 0.500 0.000 C
0.000 0.000 0.500 C
0.500 0.000 0.000 C
0.000 0.000 0.000 Se
```

Output
**Density**: 5158 kg/m3
**DFT total energy**: -4.407 eV per atom
**DOS(E_F)**: 0.539 states/eV/atom

# 6
Computed, not measured: Sr5Pt4 after structural relaxation at the GGA-PBE level of DFT.

Structure (POSCAR):
```
Sr5Pt4
1.0
5.977 3.849 0.903
-6.518 -0.254 2.969
2.465 -6.247 2.501
Sr Pt
5 4
Direct
0.000 0.000 0.000 Sr
0.315 0.315 0.629 Sr
0.315 0.685 0.000 Sr
0.685 0.315 0.000 Sr
0.685 0.685 0.371 Sr
0.000 0.348 0.348 Pt
0.000 0.652 0.652 Pt
0.348 0.000 0.348 Pt
0.652 0.000 0.652 Pt
```

Output
**Formation energy**: -303 meV/atom
**Density**: 8597 kg/m3
**DFT total energy**: -3.922 eV per atom
**DOS(E_F)**: 0.303 states/eV/atom

# 7
Computed, not measured: Ta3Rh5 after structural relaxation at the GGA-PBE level of DFT.

Structure (POSCAR):
```
Ta3Rh5
1.0
-0.453 -5.556 -0.437
5.518 -0.831 0.360
-0.302 -0.287 3.961
Rh Ta
5 3
Direct
0.000 0.000 0.000 Rh
0.000 0.500 0.000 Rh
0.500 0.000 0.000 Rh
0.733 0.267 0.500 Rh
0.267 0.733 0.500 Rh
0.500 0.500 0.000 Ta
0.220 0.220 0.500 Ta
0.780 0.780 0.500 Ta
```

Output
**Formation energy**: -535 meV/atom
**Density**: 14125 kg/m3
**DFT total energy**: -9.574 eV per atom
**DOS(E_F)**: 0.801 states/eV/atom

# 8
Computed, not measured: ErHg2Te after structural relaxation at the GGA-PBE level of DFT.

Structure (POSCAR):
```
ErHg2Te
1.0
-1.231 -1.000 3.100
0.518 -3.259 1.109
9.534 1.808 6.324
Te Hg Er
1 2 1
Direct
0.500 0.500 0.500 Te
0.088 0.088 0.737 Hg
0.912 0.912 0.263 Hg
0.000 0.000 0.000 Er
```

Output
**Density**: 9652 kg/m3
**DFT total energy**: -1.964 eV per atom
**DOS(E_F)**: 0.797 states/eV/atom

# 9
Computed, not measured: Cr4AgHg after structural relaxation at the GGA-PBE level of DFT.

Structure (POSCAR):
```
Cr4AgHg
1.0
2.335 -0.567 4.310
-0.184 3.576 3.395
-2.596 -0.663 4.144
Cr Ag Hg
4 1 1
Direct
0.888 0.371 0.371 Cr
0.371 0.371 0.888 Cr
0.371 0.888 0.371 Cr
0.371 0.371 0.371 Cr
0.000 0.000 0.000 Ag
0.750 0.750 0.750 Hg
```

Output
**Formation energy**: 583 meV/atom
**Density**: 10091 kg/m3
**DFT total energy**: -6.358 eV per atom
**DOS(E_F)**: 1.222 states/eV/atom

# 10
Computed, not measured: CaCd7Rh5 after structural relaxation at the GGA-PBE level of DFT.

Structure (POSCAR):
```
CaCd7Rh5
1.0
-3.441 3.290 -3.206
-1.392 -2.782 -6.498
-6.998 -1.481 0.853
Ca Cd Rh
1 7 5
Direct
0.026 0.974 0.974 Ca
0.684 0.316 0.316 Cd
0.346 0.654 0.654 Cd
0.988 0.346 0.677 Cd
0.988 0.677 0.346 Cd
0.265 0.235 0.235 Cd
0.499 0.796 0.206 Cd
0.499 0.206 0.796 Cd
0.488 0.002 0.512 Rh
0.999 0.002 0.512 Rh
0.488 0.512 0.002 Rh
0.999 0.512 0.002 Rh
0.732 0.768 0.768 Rh
```

Output
**Formation energy**: -180 meV/atom
**Density**: 8889 kg/m3
**DFT total energy**: -3.655 eV per atom
**DOS(E_F)**: 0.662 states/eV/atom

# 11
Computed, not measured: Rb2CdAsAu after structural relaxation at the GGA-PBE level of DFT.

Structure (POSCAR):
```
Rb2CdAsAu
1.0
6.941 0.000 0.000
0.000 4.875 0.000
0.000 0.000 6.941
As Au Rb Cd
1 1 2 1
Direct
0.000 0.500 0.000 As
0.500 0.500 0.500 Au
0.000 0.000 0.500 Rb
0.500 0.000 0.000 Rb
0.000 0.000 0.000 Cd
```

Output
**Formation energy**: 48 meV/atom
**Density**: 3926 kg/m3
**DFT total energy**: -2.107 eV per atom
**DOS(E_F)**: 0.395 states/eV/atom

# 12
Computed, not measured: AlTcP after structural relaxation at the GGA-PBE level of DFT.

Structure (POSCAR):
```
AlTcP
1.0
6.429 -0.011 0.008
5.513 2.716 0.028
0.916 -1.019 2.530
P Tc Al
1 1 1
Direct
0.676 0.676 0.324 P
0.324 0.324 0.676 Tc
0.000 0.000 0.000 Al
```

Output
**Formation energy**: 33 meV/atom
**Density**: 5824 kg/m3
**DFT total energy**: -6.473 eV per atom
**DOS(E_F)**: 0.588 states/eV/atom

# 13
Computed, not measured: TcAg2OF after structural relaxation at the GGA-PBE level of DFT.

Structure (POSCAR):
```
TcAg2OF
1.0
4.790 0.000 0.000
0.000 3.766 0.000
0.000 0.000 4.790
O Tc Ag F
1 1 2 1
Direct
0.000 0.000 0.000 O
0.000 0.500 0.000 Tc
0.000 0.000 0.500 Ag
0.500 0.000 0.000 Ag
0.500 0.500 0.500 F
```

Output
**Density**: 6703 kg/m3
**DFT total energy**: -4.565 eV per atom
**DOS(E_F)**: 0.533 states/eV/atom

# 14
Computed, not measured: AcPrRuO6 after structural relaxation at the GGA-PBE level of DFT.

Structure (POSCAR):
```
AcPrRuO6
1.0
5.876 0.000 0.000
-2.938 5.089 0.000
0.000 0.000 9.374
Ac Pr Ru O
2 2 2 12
Direct
0.333 0.667 0.250 Ac
0.667 0.333 0.750 Ac
0.000 0.000 0.000 Pr
0.000 0.000 0.500 Pr
0.667 0.333 0.250 Ru
0.333 0.667 0.750 Ru
0.684 0.617 0.133 O
0.933 0.316 0.133 O
0.316 0.933 0.633 O
0.067 0.684 0.867 O
0.383 0.316 0.367 O
0.933 0.617 0.367 O
0.617 0.933 0.867 O
0.684 0.067 0.367 O
0.067 0.383 0.633 O
0.383 0.067 0.133 O
0.617 0.684 0.633 O
0.316 0.383 0.867 O
```

Output
**Density**: 6694 kg/m3
**DFT total energy**: -7.478 eV per atom
**DOS(E_F)**: 0.519 states/eV/atom

# 15
Computed, not measured: Co2BiCl after structural relaxation at the GGA-PBE level of DFT.

Structure (POSCAR):
```
Co2BiCl
1.0
4.743 0.000 0.000
0.000 4.743 0.000
2.371 2.371 6.588
Co Bi Cl
4 2 2
Direct
0.493 0.125 0.250 Co
0.257 0.625 0.250 Co
0.375 0.507 0.750 Co
0.875 0.743 0.750 Co
0.000 0.000 0.000 Bi
0.750 0.250 0.500 Bi
0.500 0.500 0.000 Cl
0.250 0.750 0.500 Cl
```

Output
**Density**: 8120 kg/m3
**DFT total energy**: -4.606 eV per atom
**DOS(E_F)**: 1.022 states/eV/atom

# 16
Computed, not measured: HfAsNO2 after structural relaxation at the GGA-PBE level of DFT.

Structure (POSCAR):
```
HfAsNO2
1.0
3.818 0.000 0.000
0.000 3.818 0.000
0.000 0.000 3.976
As Hf O N
1 1 2 1
Direct
0.000 0.000 0.000 As
0.500 0.500 0.500 Hf
0.000 0.500 0.000 O
0.500 0.000 0.000 O
0.000 0.000 0.500 N
```

Output
**Density**: 8580 kg/m3
**DFT total energy**: -7.001 eV per atom
**DOS(E_F)**: 0.369 states/eV/atom

# 17
Computed, not measured: LaP2IrRh5 after structural relaxation at the GGA-PBE level of DFT.

Structure (POSCAR):
```
LaP2IrRh5
1.0
3.995 0.000 0.000
0.000 3.995 0.000
0.000 0.000 10.366
La P Ir Rh
1 2 1 5
Direct
0.500 0.500 0.500 La
0.000 0.000 0.720 P
0.000 0.000 0.280 P
0.000 0.000 0.000 Ir
0.000 0.000 0.500 Rh
0.000 0.500 0.833 Rh
0.500 0.000 0.167 Rh
0.000 0.500 0.167 Rh
0.500 0.000 0.833 Rh
```

Output
**Formation energy**: -288 meV/atom
**Density**: 9109 kg/m3
**DFT total energy**: -7.106 eV per atom
**DOS(E_F)**: 1.145 states/eV/atom

# 18
Computed, not measured: NdEu2Al after structural relaxation at the GGA-PBE level of DFT.

Structure (POSCAR):
```
NdEu2Al
1.0
5.574 0.000 0.000
2.787 4.827 0.000
2.787 1.609 4.551
Eu Nd Al
2 1 1
Direct
0.250 0.250 0.250 Eu
0.750 0.750 0.750 Eu
0.500 0.500 0.500 Nd
0.000 0.000 0.000 Al
```

Output
**Formation energy**: 51 meV/atom
**Density**: 6444 kg/m3
**DFT total energy**: -7.214 eV per atom
**DOS(E_F)**: 1.154 states/eV/atom

# 19
Computed, not measured: ScZn2Sb after structural relaxation at the GGA-PBE level of DFT.

Structure (POSCAR):
```
ScZn2Sb
1.0
3.520 0.000 0.000
0.000 3.859 0.000
0.000 0.000 5.970
Sb Sc Zn
1 1 2
Direct
0.000 0.000 0.511 Sb
0.500 0.500 0.744 Sc
0.000 0.000 0.026 Zn
0.500 0.500 0.219 Zn
```

Output
**Density**: 6093 kg/m3
**DFT total energy**: -3.486 eV per atom
**DOS(E_F)**: 0.578 states/eV/atom

# 20
Computed, not measured: K2NbB after structural relaxation at the GGA-PBE level of DFT.

Structure (POSCAR):
```
K2NbB
1.0
-0.684 -8.736 -8.541
-5.177 -7.541 8.128
-4.923 -7.406 -0.796
Nb B K
2 2 4
Direct
0.000 0.000 0.000 Nb
0.750 0.250 0.500 Nb
0.500 0.500 0.000 B
0.250 0.750 0.500 B
0.437 0.125 0.250 K
0.313 0.625 0.250 K
0.375 0.563 0.750 K
0.875 0.687 0.750 K
```

Output
**Formation energy**: 1194 meV/atom
**Density**: 1831 kg/m3
**DFT total energy**: -3.541 eV per atom
**DOS(E_F)**: 1.132 states/eV/atom